No. 1
Computed, not measured: LiInCu4 after structural relaxation at the PBEsol level of DFT.

It has space group F-43m (No. 216), with a = 6.8927 Å, b = 6.8927 Å, c = 6.8927 Å, α = 90.00°, β = 90.00° and γ = 90.00°. The asymmetric unit holds Li at (0.0000, 0.0000, 0.0000), In at (0.2500, 0.2500, 0.2500) and Cu at (0.1253, 0.1253, 0.6253).

***

No. 2
Computed, not measured: LiIn2Cu2 after structural relaxation at the PBEsol level of DFT.

It has space group P4/mbm (No. 127), with a = 7.5315 Å, b = 7.5315 Å, c = 2.9757 Å, α = 90.00°, β = 90.00° and γ = 90.00°. The asymmetric unit holds Li at (0.0000, 0.0000, 0.0000), In at (0.1781, 0.3219, 0.5000) and Cu at (0.1183, 0.6183, 0.0000).

***

No. 3
Computed, not measured: LiIn2Cu after structural relaxation at the PBEsol level of DFT.

It has space group I-4m2 (No. 119), with a = 4.0944 Å, b = 4.0944 Å, c = 8.4659 Å, α = 90.00°, β = 90.00° and γ = 90.00°. The asymmetric unit holds Li at (0.0000, 0.0000, 0.0000), In at (0.0000, 0.0000, 0.5000), In at (0.0000, 0.5000, 0.7500) and Cu at (0.0000, 0.5000, 0.2500).

***

No. 4
Computed, not measured: LiIn2Cu after structural relaxation at the PBEsol level of DFT.

It has space group P4/mmm (No. 123), with a = 3.0147 Å, b = 3.0147 Å, c = 7.9547 Å, α = 90.00°, β = 90.00° and γ = 90.00°. The asymmetric unit holds Li at (0.0000, 0.0000, 0.0000), In at (0.5000, 0.5000, 0.2710) and Cu at (0.0000, 0.0000, 0.5000).

***

No. 5
Computed, not measured: Li2InCu after structural relaxation at the PBEsol level of DFT.

It has space group P4/mmm (No. 123), with a = 3.8454 Å, b = 3.8454 Å, c = 4.2021 Å, α = 90.00°, β = 90.00° and γ = 90.00°. The asymmetric unit holds Li at (0.0000, 0.5000, 0.0000), In at (0.0000, 0.0000, 0.5000) and Cu at (0.5000, 0.5000, 0.5000).

***

No. 6
Computed, not measured: LiIn2Cu after structural relaxation at the PBEsol level of DFT.

It has space group P4/mmm (No. 123), with a = 4.4424 Å, b = 4.4424 Å, c = 3.5004 Å, α = 90.00°, β = 90.00° and γ = 90.00°. The asymmetric unit holds Li at (0.0000, 0.0000, 0.0000), In at (0.0000, 0.5000, 0.5000) and Cu at (0.5000, 0.5000, 0.0000).

***

No. 7
Computed, not measured: Li4InCu after structural relaxation at the PBEsol level of DFT.

It has space group F-43m (No. 216), with a = 7.0778 Å, b = 7.0778 Å, c = 7.0778 Å, α = 90.00°, β = 90.00° and γ = 90.00°. The asymmetric unit holds Li at (0.1254, 0.1254, 0.1254), In at (0.2500, 0.2500, 0.7500) and Cu at (0.0000, 0.0000, 0.5000).

***

No. 8
Computed, not measured: LiIn2Cu after structural relaxation at the PBEsol level of DFT.

It has space group Pmm2 (No. 25), with a = 3.1547 Å, b = 4.4630 Å, c = 4.9464 Å, α = 90.00°, β = 90.00° and γ = 90.00°. The asymmetric unit holds Li at (0.0000, 0.0000, 0.0000), In at (0.5000, 0.0000, 0.5239), In at (0.5000, 0.5000, 0.1218) and Cu at (0.0000, 0.5000, 0.6633).

***

No. 9
Computed, not measured: LiIn2Cu after structural relaxation at the PBEsol level of DFT.

It has space group R-3m (No. 166, hexagonal axes), with a = 3.1425 Å, b = 3.1425 Å, c = 26.6694 Å, α = 90.00°, β = 90.00° and γ = 120.00°. The asymmetric unit holds Li at (0.0000, 0.0000, 0.0000), In at (0.0000, 0.0000, 0.2446) and Cu at (0.0000, 0.0000, 0.5000).

***

No. 10
Computed, not measured: LuInCu2 after structural relaxation at the PBEsol level of DFT.

It has space group Fm-3m (No. 225), with a = 6.4347 Å, b = 6.4347 Å, c = 6.4347 Å, α = 90.00°, β = 90.00° and γ = 90.00°. The asymmetric unit holds Lu at (0.0000, 0.0000, 0.0000), In at (0.0000, 0.0000, 0.5000) and Cu at (0.2500, 0.2500, 0.2500).

***

No. 11
Computed, not measured: MgInCu after structural relaxation at the PBEsol level of DFT.

It has space group P-6m2 (No. 187), with a = 4.4820 Å, b = 4.4820 Å, c = 3.1362 Å, α = 90.00°, β = 90.00° and γ = 120.00°. The asymmetric unit holds Mg at (0.0000, 0.0000, 0.0000), In at (0.3333, 0.6667, 0.5000) and Cu at (0.6667, 0.3333, 0.5000).

***

No. 12
Computed, not measured: Mg3InCu after structural relaxation at the PBEsol level of DFT.

It has space group Pm-3m (No. 221), with a = 5.2257 Å, b = 5.2257 Å, c = 5.2257 Å, α = 90.00°, β = 90.00° and γ = 90.00°. The asymmetric unit holds Mg at (0.0000, 0.0000, 0.5000), In at (0.0000, 0.0000, 0.0000) and Cu at (0.5000, 0.5000, 0.5000).

***

| no. | DFT formation energy (meV per atom) | E_tot (Ha/atom) |
| --- | --- | --- |
| 1 | -88 | -0.13975 |
| 2 | -61 | -0.12425 |
| 3 | -68 | -0.11521 |
| 4 | -111 | -0.11679 |
| 5 | -139 | -0.10848 |
| 6 | -101 | -0.11641 |
| 7 | 27 | -0.09201 |
| 8 | -97 | -0.11625 |
| 9 | -11 | -0.11309 |
| 10 | -347 | -0.16457 |
| 11 | -25 | -0.11160 |
| 12 | 649 | -0.06777 |